Material: Sr3TiFe2O9
Method: DFT, GGA+U
State: optimized geometry

Unit cell a=5.5543 b=5.5543 c=6.8036 alpha=90.00 beta=90.00 gamma=120.00
Closest atoms and distances in Å follow each position.
Positions (direct):
Sr 0.0000 0.0000 0.0000  12 O 2.78
Sr 0.3333 0.6667 0.6685  12 O 2.77-2.79
Sr 0.6667 0.3333 0.3315  12 O 2.77-2.79
Ti 0.0000 0.0000 0.5000  6 O 1.96
Fe 0.3333 0.6667 0.1668  6 O 1.96-1.97
Fe 0.6667 0.3333 0.8332  6 O 1.96-1.97
O 0.0000 0.5000 0.0000  2 Fe 1.96
O 0.1665 0.3330 0.3337  1 Ti 1.96, 1 Fe 1.97
O 0.1665 0.8335 0.3337  1 Ti 1.96, 1 Fe 1.97
O 0.3330 0.1665 0.6663  1 Ti 1.96, 1 Fe 1.97
O 0.5000 0.0000 0.0000  2 Fe 1.96
O 0.5000 0.5000 0.0000  2 Fe 1.96
O 0.6670 0.8335 0.3337  1 Ti 1.96, 1 Fe 1.97
O 0.8335 0.1665 0.6663  1 Ti 1.96, 1 Fe 1.97
O 0.8335 0.6670 0.6663  1 Ti 1.96, 1 Fe 1.97

VASP energy = -0.254 hartree per atom